# 1
Material: Ac2Mg12TlAg3
Method: DFT, PBE
State: relaxed

Results
- V: 462.82 Å³/f.u.
- Magnetization: 0.000 μB per formula unit
- Calculated formation energy: 36.6 meV/atom
- D(E_F): 11.41 states/eV per cell
- Space group: R-3m (166)

Unit cell a=7.7571 b=7.7571 c=7.7571 alpha=85.59 beta=85.59 gamma=85.59
Positions (direct):
Ac (0.2401, 0.2401, 0.2401)
Ac (0.7599, 0.7599, 0.7599)
Mg (0.1612, 0.5673, 0.5673)
Mg (0.1918, 0.1918, 0.7122)
Mg (0.1918, 0.7122, 0.1918)
Mg (0.2878, 0.8082, 0.8082)
Mg (0.4327, 0.4327, 0.8388)
Mg (0.4327, 0.8388, 0.4327)
Mg (0.5673, 0.1612, 0.5673)
Mg (0.5673, 0.5673, 0.1612)
Mg (0.7122, 0.1918, 0.1918)
Mg (0.8082, 0.2878, 0.8082)
Mg (0.8082, 0.8082, 0.2878)
Mg (0.8388, 0.4327, 0.4327)
Tl (0.0000, 0.0000, 0.0000)
Ag (0.0000, 0.0000, 0.5000)
Ag (0.0000, 0.5000, 0.0000)
Ag (0.5000, 0.0000, 0.0000)

# 2
Material: Ac2TmMg12Ag3
Method: DFT, PBE
State: relaxed

Results
- V: 524.31 Å³/f.u.
- Magnetization: 0.000 μB per formula unit
- Calculated formation energy: 184.2 meV/atom
- D(E_F): 9.12 states/eV per cell
- Space group: R-3m (166)

Unit cell a=9.1121 b=9.1121 c=9.1121 alpha=59.12 beta=59.12 gamma=59.12
Positions (direct):
Ac (0.0831, 0.0831, 0.0831)
Ac (0.9169, 0.9169, 0.9169)
Tm (0.5000, 0.5000, 0.5000)
Mg (0.0431, 0.6645, 0.6645)
Mg (0.2642, 0.2642, 0.6315)
Mg (0.2642, 0.6315, 0.2642)
Mg (0.3355, 0.3355, 0.9569)
Mg (0.3355, 0.9569, 0.3355)
Mg (0.3685, 0.7358, 0.7358)
Mg (0.6315, 0.2642, 0.2642)
Mg (0.6645, 0.0431, 0.6645)
Mg (0.6645, 0.6645, 0.0431)
Mg (0.7358, 0.3685, 0.7358)
Mg (0.7358, 0.7358, 0.3685)
Mg (0.9569, 0.3355, 0.3355)
Ag (0.0000, 0.5000, 0.5000)
Ag (0.5000, 0.0000, 0.5000)
Ag (0.5000, 0.5000, 0.0000)

# 3
Material: AcTmMgAg
Method: DFT, PBE
State: relaxed

Results
- V: 115.68 Å³/f.u.
- Magnetization: 0.000 μB per formula unit
- Calculated formation energy: -88.8 meV/atom
- D(E_F): 3.46 states/eV per cell
- Space group: F-43m (216)

Unit cell a=5.4692 b=5.4692 c=5.4692 alpha=60.00 beta=60.00 gamma=60.00
Positions (direct):
Ac (0.0000, 0.0000, 0.0000)
Tm (0.5000, 0.5000, 0.5000)
Mg (0.2500, 0.2500, 0.2500)
Ag (0.7500, 0.7500, 0.7500)

# 4
Material: Ac2YMgAg6
Method: DFT, PBE
State: relaxed

Results
- V: 269.27 Å³/f.u.
- Magnetization: 0.000 μB per formula unit
- Calculated formation energy: -90.1 meV/atom
- D(E_F): 7.39 states/eV per cell
- Space group: P-1 (2)

Unit cell a=5.7970 b=7.3983 c=7.4129 alpha=82.37 beta=67.00 gamma=66.98
Positions (direct):
Ac (0.2364, 0.2326, 0.2936)
Ac (0.7637, 0.7674, 0.7064)
Y (0.0000, 0.0000, 0.0000)
Mg (0.5000, 0.5000, 0.5000)
Ag (0.2508, 0.7464, 0.2610)
Ag (0.2543, 0.5734, 0.9193)
Ag (0.2546, 0.2557, 0.7385)
Ag (0.7454, 0.7443, 0.2615)
Ag (0.7457, 0.4266, 0.0807)
Ag (0.7492, 0.2536, 0.7390)

# 5
Material: AcMgZn2Ag2
Method: DFT, PBE
State: relaxed

Results
- V: 133.77 Å³/f.u.
- Magnetization: 0.000 μB per formula unit
- Calculated formation energy: -251.6 meV/atom
- D(E_F): 3.02 states/eV per cell
- Space group: P-3m1 (164)

Unit cell a=4.6335 b=4.6335 c=7.1946 alpha=90.00 beta=90.00 gamma=120.00
Positions (direct):
Ac (0.0000, 0.0000, 0.0000)
Mg (0.0000, 0.0000, 0.5000)
Zn (0.3333, 0.6667, 0.2947)
Zn (0.6667, 0.3333, 0.7053)
Ag (0.3333, 0.6667, 0.6873)
Ag (0.6667, 0.3333, 0.3127)

# 6
Material: AcMgZnAg2
Method: DFT, PBE
State: relaxed

Results
- V: 119.70 Å³/f.u.
- Magnetization: 0.000 μB per formula unit
- Calculated formation energy: -245.6 meV/atom
- D(E_F): 2.92 states/eV per cell
- Space group: I-4m2 (119)

Unit cell a=6.9229 b=6.9229 c=6.9229 alpha=142.95 beta=142.95 gamma=53.40
Positions (direct):
Ac (0.0000, 0.0000, 0.0000)
Mg (0.7500, 0.2500, 0.5000)
Zn (0.2500, 0.7500, 0.5000)
Ag (0.3852, 0.3852, 0.0000)
Ag (0.6148, 0.6148, 0.0000)

# 7
Material: Ac2Mg4ZnAg3
Method: DFT, PBE
State: relaxed

Results
- V: 252.28 Å³/f.u.
- Magnetization: 0.000 μB per formula unit
- Calculated formation energy: -201.3 meV/atom
- D(E_F): 8.81 states/eV per cell
- Space group: P-4m2 (115)

Unit cell a=4.6889 b=4.6889 c=11.4745 alpha=90.00 beta=90.00 gamma=90.00
Positions (direct):
Ac (0.0000, 0.5000, 0.2338)
Ac (0.5000, 0.0000, 0.7662)
Mg (0.0000, 0.0000, 0.5000)
Mg (0.0000, 0.5000, 0.8784)
Mg (0.5000, 0.0000, 0.1216)
Mg (0.5000, 0.5000, 0.5000)
Zn (0.5000, 0.5000, 0.0000)
Ag (0.0000, 0.0000, 0.0000)
Ag (0.0000, 0.5000, 0.6388)
Ag (0.5000, 0.0000, 0.3612)

# 8
Material: AcMg2ZnAg4
Method: DFT, PBE
State: relaxed

Results
- V: 175.92 Å³/f.u.
- Magnetization: 0.000 μB per formula unit
- Calculated formation energy: -180.2 meV/atom
- D(E_F): 5.17 states/eV per cell
- Space group: R-3m (166)

Unit cell a=9.7966 b=9.7966 c=9.7966 alpha=27.42 beta=27.42 gamma=27.42
Positions (direct):
Ac (0.0000, 0.0000, 0.0000)
Mg (0.2350, 0.2350, 0.2350)
Mg (0.7650, 0.7650, 0.7650)
Zn (0.5000, 0.5000, 0.5000)
Ag (0.1327, 0.1327, 0.1327)
Ag (0.4047, 0.4047, 0.4047)
Ag (0.5953, 0.5953, 0.5953)
Ag (0.8673, 0.8673, 0.8673)

# 9
Material: AcMgZn2Ag4
Method: DFT, PBE
State: relaxed

Results
- V: 169.26 Å³/f.u.
- Magnetization: 0.000 μB per formula unit
- Calculated formation energy: -164.9 meV/atom
- D(E_F): 2.85 states/eV per cell
- Space group: R-3m (166)

Unit cell a=9.6894 b=9.6894 c=9.6894 alpha=27.34 beta=27.34 gamma=27.34
Positions (direct):
Ac (0.0000, 0.0000, 0.0000)
Mg (0.5000, 0.5000, 0.5000)
Zn (0.2380, 0.2380, 0.2380)
Zn (0.7620, 0.7620, 0.7620)
Ag (0.1282, 0.1282, 0.1282)
Ag (0.4036, 0.4036, 0.4036)
Ag (0.5964, 0.5964, 0.5964)
Ag (0.8718, 0.8718, 0.8718)

# 10
Material: Ac2Mg6ZnAg
Method: DFT, PBE
State: relaxed

Results
- V: 273.22 Å³/f.u.
- Magnetization: 0.000 μB per formula unit
- Calculated formation energy: -63.4 meV/atom
- D(E_F): 4.35 states/eV per cell
- Space group: P-1 (2)

Unit cell a=7.1761 b=7.1982 c=7.3563 alpha=61.00 beta=60.92 gamma=60.33
Positions (direct):
Ac (0.2123, 0.2129, 0.3588)
Ac (0.7877, 0.7871, 0.6412)
Mg (0.2476, 0.2489, 0.8253)
Mg (0.2493, 0.6771, 0.8264)
Mg (0.3231, 0.7500, 0.1731)
Mg (0.6769, 0.2500, 0.8269)
Mg (0.7507, 0.3229, 0.1736)
Mg (0.7524, 0.7511, 0.1747)
Zn (0.0000, 0.0000, 0.0000)
Ag (0.5000, 0.5000, 0.5000)

# 11
Material: Ac2MgZn3Ag12
Method: DFT, PBE
State: relaxed

Results
- V: 444.57 Å³/f.u.
- Magnetization: 0.000 μB per formula unit
- Calculated formation energy: 186.1 meV/atom
- D(E_F): 7.51 states/eV per cell
- Space group: R-3m (166)

Unit cell a=8.3763 b=8.3763 c=8.3763 alpha=63.15 beta=63.15 gamma=63.15
Positions (direct):
Ac (0.1100, 0.1100, 0.1100)
Ac (0.8900, 0.8900, 0.8900)
Mg (0.5000, 0.5000, 0.5000)
Zn (0.0000, 0.5000, 0.5000)
Zn (0.5000, 0.0000, 0.5000)
Zn (0.5000, 0.5000, 0.0000)
Ag (0.1226, 0.6308, 0.6308)
Ag (0.1439, 0.1439, 0.6110)
Ag (0.1439, 0.6110, 0.1439)
Ag (0.3692, 0.3692, 0.8774)
Ag (0.3692, 0.8775, 0.3692)
Ag (0.3890, 0.8561, 0.8561)
Ag (0.6110, 0.1439, 0.1439)
Ag (0.6308, 0.1226, 0.6308)
Ag (0.6308, 0.6308, 0.1226)
Ag (0.8561, 0.3890, 0.8561)
Ag (0.8561, 0.8561, 0.3890)
Ag (0.8775, 0.3692, 0.3692)

# 12
Material: AcMgZnAg6
Method: DFT, PBE
State: relaxed

Results
- V: 199.30 Å³/f.u.
- Magnetization: 0.000 μB per formula unit
- Calculated formation energy: 17.9 meV/atom
- D(E_F): 6.35 states/eV per cell
- Space group: Imma (74)

Unit cell a=8.2706 b=8.2706 c=8.2706 alpha=126.79 beta=110.07 gamma=93.33
Positions (direct):
Ac (0.4569, 0.2069, 0.2500)
Ac (0.5431, 0.7931, 0.7500)
Mg (0.0000, 0.0000, 0.5000)
Mg (0.0000, 0.5000, 0.0000)
Zn (0.0000, 0.0000, 0.0000)
Zn (0.5000, 0.0000, 0.5000)
Ag (0.1251, 0.4335, 0.3088)
Ag (0.1251, 0.8163, 0.6915)
Ag (0.1702, 0.9202, 0.2500)
Ag (0.2382, 0.4882, 0.7500)
Ag (0.3753, 0.1837, 0.8088)
Ag (0.3753, 0.5665, 0.1915)
Ag (0.6247, 0.4335, 0.8085)
Ag (0.6247, 0.8163, 0.1912)
Ag (0.7618, 0.5118, 0.2500)
Ag (0.8298, 0.0798, 0.7500)
Ag (0.8749, 0.1837, 0.3085)
Ag (0.8749, 0.5665, 0.6912)